A plane-wave DFT calculation with meta-GGA SCAN was carried out for BaTiPd2 at its PBEsol-relaxed geometry.

Cell lengths 6.9487, 6.9487, 6.9487 Å; angles 90.00, 90.00, 90.00 degrees
Space group Fm-3m (No. 225)
Asymmetric unit:
Ba (0.0000, 0.0000, 0.0000) [4 per cell]
Ti (0.0000, 0.0000, 0.5000) [4 per cell]
Pd (0.2500, 0.2500, 0.2500) [8 per cell]

crystal system	cubic
formation enthalpy at 0 K	51	meV per atom
energy	-30.2310	eV per atom
M_tot	1.60	μB/f.u.